(1)
A relaxed structure of TmHf3, computed with PBE-GGA.

a b c (Å): 3.258 5.679 6.095
angles (deg): 117.77 105.50 90.00
Fractional coordinates of all 4 atoms:
1 Tm 0.000 0.000 0.000
2 Hf 0.247 0.579 0.493
3 Hf 0.500 0.502 0.000
4 Hf 0.753 0.086 0.507

The calculation puts the calculated volume at 23.78 A^3/atom. The value obtained for the total DFT energy (no corrections) is -34.075 eV for the cell shown. The spin magnetization is 0.0 μB/cell. Its formation energy is 0.064 eV/atom. The relative energy among the computed polymorphs comes out at 12 meV per atom.

(2)
A relaxed structure of TlSn2PdW, computed with PBE-GGA.

a b c (Å): 5.147 5.184 5.147
angles (deg): 90.00 90.00 90.00
Each line ends with the local moment (μB).
Fractional coordinates of all 5 atoms:
1 Tl 0.000 0.500 0.000  -0.01
2 Pd 0.000 0.000 0.000  -0.05
3 Sn 0.000 0.000 0.500  -0.08
4 Sn 0.500 0.000 0.000  -0.04
5 W 0.500 0.500 0.500  2.91

The calculation puts the calculated volume at 27.46 A^3/atom. The value obtained for the total DFT energy (no corrections) is -22.854 eV for the cell shown. The spin magnetization is 3.5 μB/cell. Its formation energy is 1.133 eV/atom.

(3)
A relaxed structure of Th5Te4Se, computed with PBE-GGA.

a b c (Å): 4.240 4.585 15.851
angles (deg): 93.38 97.72 90.00
Fractional coordinates of all 10 atoms:
1 Th 0.090 0.175 0.179
2 Th 0.500 0.500 0.000
3 Th 0.910 0.825 0.821
4 Th 0.292 0.295 0.585
5 Th 0.708 0.705 0.415
6 Te 0.397 0.319 0.795
7 Te 0.808 0.801 0.617
8 Te 0.192 0.199 0.383
9 Te 0.603 0.681 0.205
10 Se 0.000 0.000 0.000

The calculation puts the calculated volume at 30.48 A^3/atom. The value obtained for the total DFT energy (no corrections) is -64.269 eV for the cell shown. The spin magnetization is 0.0 μB/cell. For the uncorrected formation energy, the calculation gives -1.112 eV/atom.